Record 1
# PmSm12Tm3 | Alexandria | PBE | optimized geometry
data_PmSm12Tm3
_chemical_formula_sum 'Pm1 Sm12 Tm3'
_cell_length_a 5.097
_cell_length_b 5.097
_cell_length_c 20.342
_cell_angle_alpha 90.00
_cell_angle_beta 90.00
_cell_angle_gamma 90.00
_symmetry_space_group_name_H-M 'P 4/m m m'
_symmetry_Int_Tables_number 123
_symmetry_space_group_name_Hall '-P 4 2'
loop_
_atom_site_label
_atom_site_type_symbol
_atom_site_fract_x
_atom_site_fract_y
_atom_site_fract_z
Pm1 Pm 0.000 0.000 0.000
Sm1 Sm 0.000 0.500 0.127
Sm2 Sm 0.000 0.500 0.376
Sm3 Sm 0.500 0.500 0.000
Sm4 Sm 0.500 0.500 0.252
Sm5 Sm 0.500 0.500 0.500
Tm1 Tm 0.000 0.000 0.252
Tm2 Tm 0.000 0.000 0.500
# - VASP energy: -4.66 eV/atom
# - DOS at the Fermi energy: 23.6 states/eV/cell
# - Magnetic moment: 0.00 μB/cell
# - Energy relative to the elements: 1.7 kJ per mole of atoms

Record 2
# Pm4Sm5Tm2 | Alexandria | PBE | optimized geometry
data_Pm4Sm5Tm2
_chemical_formula_sum 'Pm8 Sm10 Tm4'
_cell_length_a 3.515
_cell_length_b 9.346
_cell_length_c 23.210
_cell_angle_alpha 90.00
_cell_angle_beta 90.00
_cell_angle_gamma 90.00
_symmetry_space_group_name_H-M 'I m m m'
_symmetry_Int_Tables_number 71
_symmetry_space_group_name_Hall '-I 2 2'
loop_
_atom_site_label
_atom_site_type_symbol
_atom_site_fract_x
_atom_site_fract_y
_atom_site_fract_z
Pm1 Pm 0.000 0.000 0.096
Pm2 Pm 0.000 0.299 0.500
Sm1 Sm 0.000 0.205 0.349
Sm2 Sm 0.000 0.500 0.000
Tm1 Tm 0.000 0.000 0.230
# - VASP energy: -4.44 eV/atom
# - DOS at the Fermi energy: 33.7 states/eV/cell
# - Magnetic moment: 0.00 μB/cell
# - Energy relative to the elements: 23.8 kJ per mole of atoms

Record 3
# Pm3SmTm4 | Alexandria | PBE | optimized geometry
data_Pm3SmTm4
_chemical_formula_sum 'Pm6 Sm2 Tm8'
_cell_length_a 11.393
_cell_length_b 7.276
_cell_length_c 6.264
_cell_angle_alpha 90.00
_cell_angle_beta 90.00
_cell_angle_gamma 90.00
_symmetry_space_group_name_H-M 'P m n 21'
_symmetry_Int_Tables_number 31
_symmetry_space_group_name_Hall 'P 2ac -2'
loop_
_atom_site_label
_atom_site_type_symbol
_atom_site_fract_x
_atom_site_fract_y
_atom_site_fract_z
Pm1 Pm 0.000 0.128 0.000
Pm2 Pm 0.250 0.128 0.337
Sm1 Sm 0.000 0.871 0.501
Tm1 Tm 0.000 0.380 0.502
Tm2 Tm 0.000 0.621 0.002
Tm3 Tm 0.250 0.379 0.835
# - VASP energy: -4.58 eV/atom
# - DOS at the Fermi energy: 29.7 states/eV/cell
# - Magnetic moment: 0.00 μB/cell
# - Energy relative to the elements: 2.2 kJ per mole of atoms

Record 4
# PmSm2Tm2 | Alexandria | PBE | optimized geometry
data_PmSm2Tm2
_chemical_formula_sum 'Pm3 Sm6 Tm6'
_cell_length_a 3.5929
_cell_length_b 3.5929
_cell_length_c 43.3410
_cell_angle_alpha 90.00
_cell_angle_beta 90.00
_cell_angle_gamma 120.00
_symmetry_space_group_name_H-M 'R -3 m'
_symmetry_Int_Tables_number 166
_symmetry_space_group_name_Hall '-R 3 2"'
loop_
_atom_site_label
_atom_site_type_symbol
_atom_site_fract_x
_atom_site_fract_y
_atom_site_fract_z
Pm1 Pm 0.0000 0.0000 0.0000
Sm1 Sm 0.0000 0.0000 0.1319
Tm1 Tm 0.0000 0.0000 0.3994
# - VASP energy: -4.62 eV/atom
# - DOS at the Fermi energy: 18.2 states/eV/cell
# - Magnetic moment: 0.00 μB/cell
# - Energy relative to the elements: 0.4 kJ per mole of atoms

Please write out number 2 again, unchanged.
# Pm4Sm5Tm2 | Alexandria | PBE | optimized geometry
data_Pm4Sm5Tm2
_chemical_formula_sum 'Pm8 Sm10 Tm4'
_cell_length_a 3.515
_cell_length_b 9.346
_cell_length_c 23.210
_cell_angle_alpha 90.00
_cell_angle_beta 90.00
_cell_angle_gamma 90.00
_symmetry_space_group_name_H-M 'I m m m'
_symmetry_Int_Tables_number 71
_symmetry_space_group_name_Hall '-I 2 2'
loop_
_atom_site_label
_atom_site_type_symbol
_atom_site_fract_x
_atom_site_fract_y
_atom_site_fract_z
Pm1 Pm 0.000 0.000 0.096
Pm2 Pm 0.000 0.299 0.500
Sm1 Sm 0.000 0.205 0.349
Sm2 Sm 0.000 0.500 0.000
Tm1 Tm 0.000 0.000 0.230
# - VASP energy: -4.44 eV/atom
# - DOS at the Fermi energy: 33.7 states/eV/cell
# - Magnetic moment: 0.00 μB/cell
# - Energy relative to the elements: 23.8 kJ per mole of atoms

Question: Which formula does entry 1 have?
Answer: PmSm12Tm3

Question: The highest energy relative to the elements belongs to which entry?
Answer: Pm4Sm5Tm2